A plane-wave DFT calculation with PBE with a Hubbard U was carried out for VO2F after structural relaxation.

The structure in POSCAR format:
```
VO2F
1.0
-3.463 0.779 3.750
-7.930 -1.208 -4.085
2.286 -4.616 -0.246
V O F
4 8 4
Direct
0.000 0.000 0.000
0.690 0.750 0.206
0.500 0.500 0.500
0.310 0.250 0.794
0.379 0.878 0.185
0.446 0.373 0.125
0.836 0.874 0.076
0.316 0.376 0.561
0.684 0.624 0.439
0.164 0.126 0.924
0.554 0.627 0.875
0.621 0.122 0.815
0.131 0.624 0.308
0.054 0.127 0.373
0.946 0.873 0.627
0.869 0.376 0.692
```

Computed properties:
Total DFT energy (no corrections) in hartree per atom: -0.2487